{
  "formula": "LiTl2Bi2",
  "functional": "PBE-GGA",
  "state": "relaxed",
  "e_above_lowest_polymorph_kcal_per_mol_atoms": 3.44,
  "ef_ev_per_atom": 0.0343,
  "n_ef_per_ev_fu": 2.96,
  "density_g_cm3": 8.79,
  "vol_a3_per_atom": 31.49,
  "lattice_angstrom": [[-0.5332, -1.3678, 8.2148], [-4.5101, -6.8726, -1.4370], [3.7940, -2.4558, -0.1626]],
  "species": ["Tl", "Tl", "Tl", "Tl", "Bi", "Bi", "Bi", "Bi", "Li", "Li"],
  "frac_coords": [[0.3419, 0.8419, 0.0000], [0.8419, 0.6581, 0.0000], [0.6581, 0.1581, 0.0000], [0.1581, 0.3419, 0.0000], [0.1361, 0.6361, 0.5000], [0.6361, 0.8639, 0.5000], [0.8639, 0.3639, 0.5000], [0.3639, 0.1361, 0.5000], [0.0000, 0.0000, 0.0000], [0.5000, 0.5000, 0.0000]]
}


{
  "formula": "Sc2SnTe5",
  "functional": "PBE-GGA",
  "state": "relaxed",
  "e_form_raw_mev_per_atom": -739,
  "density_g_cm3": 4.79,
  "vol_a3_per_atom": 36.69,
  "lattice_angstrom": [[6.0003, 0.0000, 0.0000], [-3.0002, 7.2245, 0.0000], [0.0000, 0.0000, 13.5419]],
  "species": ["Sc", "Sc", "Sc", "Sc", "Sn", "Sn", "Te", "Te", "Te", "Te", "Te", "Te", "Te", "Te", "Te", "Te"],
  "frac_coords": [[0.8348, 0.6696, 0.4406], [0.8348, 0.6696, 0.0594], [0.1652, 0.3304, 0.5594], [0.1652, 0.3304, 0.9406], [0.7984, 0.5968, 0.7500], [0.2016, 0.4032, 0.2500], [0.9664, 0.9329, 0.8981], [0.9664, 0.9329, 0.6019], [0.3234, 0.6468, 0.4271], [0.3234, 0.6468, 0.0729], [0.7468, 0.4936, 0.2500], [0.2532, 0.5064, 0.7500], [0.6766, 0.3532, 0.5729], [0.6766, 0.3532, 0.9271], [0.0336, 0.0671, 0.1019], [0.0336, 0.0671, 0.3981]]
}


{
  "formula": "Zr2CoTc",
  "functional": "PBE-GGA",
  "state": "relaxed",
  "e_above_lowest_polymorph_kcal_per_mol_atoms": 9.33,
  "ef_ev_per_atom": 0.0307,
  "n_ef_per_ev_fu": 4.51,
  "density_g_cm3": 8.09,
  "vol_a3_per_atom": 17.42,
  "lattice_angstrom": [[-1.5961, -1.5371, 2.4522], [1.5057, -2.8326, -0.7955], [4.7716, 1.4151, 3.9928]],
  "species": ["Co", "Tc", "Zr", "Zr"],
  "frac_coords": [[0.0000, 0.0000, 0.5148], [0.5000, 0.5000, 0.7330], [0.0000, 0.0000, 0.9697], [0.5000, 0.5000, 0.2824]]
}